Entry 1:
A plane-wave DFT calculation with GGA-PBE was carried out for a relaxed Zn2AgSb crystal.

- Mass density: 7.7 g/cm³
- Formation energy without anion corrections: 13.2 kJ/mol of atoms

Unit cell a=3.1087 b=3.1087 c=8.0654 alpha=90.00 beta=90.00 gamma=94.34
Last column: nearest neighbours and their distance in Å.
Positions (direct):
Ag 0.5000 0.5000 0.2500  8 Zn 2.74-2.87
Zn 0.0000 0.0000 0.4667  4 Ag 2.74-2.87
Zn 0.0000 0.0000 0.0333  4 Ag 2.74-2.87
Sb 0.5000 0.5000 0.7500  4 Sb 3.11, 8 Zn 3.11-3.23

Entry 2:
A plane-wave DFT calculation with GGA-PBE was carried out for a relaxed Ba2MgInPd crystal.

- Mass density: 4.4 g/cm³
- Excess energy over the best structure of this formula in the dataset: 0.572 kcal/mol of atoms
- Calculated formation energy: -270 meV per atom

Unit cell a=6.1546 b=6.1546 c=5.2363 alpha=90.00 beta=90.00 gamma=90.00
Last column: nearest neighbours and their distance in Å.
Positions (direct):
Mg 0.5000 0.5000 0.5000  8 Ba 4.04, 4 In 4.35
In 0.0000 0.0000 0.5000  2 Pd 2.62
Pd 0.0000 0.0000 0.0000  2 In 2.62
Ba 0.0000 0.5000 0.0000  2 Pd 3.08
Ba 0.5000 0.0000 0.0000  2 Pd 3.08

Entry 3:
A plane-wave DFT calculation with GGA-PBE was carried out for a relaxed PrDyTm2Hg4 crystal.

- Mass density: 11.5 g/cm³
- Calculated formation energy: -464 meV per atom

Unit cell a=5.2732 b=5.2732 c=9.2033 alpha=73.35 beta=73.35 gamma=60.00
Last column: nearest neighbours and their distance in Å.
Positions (direct):
Tm 0.2491 0.2491 0.2526  8 Hg 3.17-3.37
Hg 0.8726 0.8726 0.3823  4 Tm 3.17-3.25, 3 Dy 3.21, 1 Pr 3.32
Hg 0.1274 0.1274 0.6177  4 Tm 3.17-3.25, 3 Dy 3.21, 1 Pr 3.32
Tm 0.7509 0.7509 0.7474  8 Hg 3.17-3.37
Hg 0.6216 0.6216 0.1351  1 Dy 3.17, 4 Tm 3.21-3.37, 3 Pr 3.26
Dy 0.5000 0.5000 0.5000  8 Hg 3.17-3.21
Pr 0.0000 0.0000 0.0000  8 Hg 3.26-3.32
Hg 0.3784 0.3784 0.8649  1 Dy 3.17, 4 Tm 3.21-3.37, 3 Pr 3.26

Entry 4:
A plane-wave DFT calculation with GGA-PBE was carried out for a relaxed Tb4BeCl5 crystal.

- Mass density: 5.1 g/cm³
- Formation energy without anion corrections: -146.3 kJ/mol of atoms

Unit cell a=3.7984 b=8.1991 c=9.0006 alpha=77.12 beta=102.18 gamma=90.00
Last column: nearest neighbours and their distance in Å.
Positions (direct):
Be 0.5000 0.0000 0.0000  6 Tb 2.60-2.69
Cl 0.5000 0.5000 0.0000  4 Tb 2.91
Tb 0.3482 0.0850 0.6964  1 Be 2.60, 4 Cl 2.75-2.81
Cl 0.8262 0.8466 0.6525  4 Tb 2.81-2.99
Cl 0.1652 0.6682 0.3304  3 Tb 2.75-2.85
Tb 0.9992 0.7689 0.9985  2 Be 2.69, 4 Cl 2.85-2.96
Cl 0.1738 0.1534 0.3475  4 Tb 2.81-2.99
Cl 0.8348 0.3318 0.6696  3 Tb 2.75-2.85
Tb 0.0008 0.2311 0.0015  2 Be 2.69, 4 Cl 2.85-2.96
Tb 0.6518 0.9150 0.3036  1 Be 2.60, 4 Cl 2.75-2.81

Entry 5:
A plane-wave DFT calculation with GGA-PBE was carried out for a relaxed SmThTlAu crystal.

- Mass density: 12.0 g/cm³
- Excess energy over the best structure of this formula in the dataset: 0.000 kcal/mol of atoms
- Calculated formation energy: -461 meV per atom

Unit cell a=3.5876 b=3.5876 c=8.4127 alpha=90.00 beta=90.00 gamma=90.00
Last column: nearest neighbours and their distance in Å.
Positions (direct):
Au 0.5000 0.5000 0.6006  4 Sm 3.16, 4 Th 3.23
Tl 0.5000 0.5000 0.1133  4 Sm 3.37, 4 Th 3.44, 4 Tl 3.59
Sm 0.0000 0.0000 0.3765  4 Au 3.16, 4 Tl 3.37
Th 0.0000 0.0000 0.8376  4 Au 3.23, 4 Tl 3.44, 4 Th 3.59

Entry 6:
A plane-wave DFT calculation with GGA-PBE was carried out for a relaxed ZrScAu2 crystal.

- Mass density: 10.9 g/cm³
- Excess energy over the best structure of this formula in the dataset: 1.761 kcal/mol of atoms
- Calculated formation energy: -557 meV per atom

Unit cell a=3.5763 b=3.5763 c=6.3234 alpha=90.00 beta=90.00 gamma=90.00
Last column: nearest neighbours and their distance in Å.
Positions (direct):
Au 0.5000 0.5000 0.2624  4 Sc 2.85, 4 Au 3.05, 1 Zr 3.09
Sc 0.0000 0.0000 0.4697  5 Au 2.85-3.01, 4 Zr 3.18
Zr 0.5000 0.5000 0.7742  5 Au 2.88-3.09, 4 Sc 3.18
Au 0.0000 0.0000 0.9937  4 Zr 2.88, 1 Sc 3.01, 4 Au 3.05

Entry 7:
A plane-wave DFT calculation with GGA-PBE was carried out for a relaxed RbNi2TeSe crystal.

- Mass density: 5.4 g/cm³
- Formation energy without anion corrections: -40.1 kJ/mol of atoms

Unit cell a=4.0158 b=8.0569 c=7.9831 alpha=102.02 beta=90.00 gamma=90.00
Last column: nearest neighbours and their distance in Å.
Positions (direct):
Se 0.7500 0.3074 0.5622  4 Ni 2.32-2.42
Se 0.2500 0.6926 0.4378  4 Ni 2.32-2.42
Ni 0.7500 0.5207 0.3966  3 Se 2.38-2.42
Te 0.2500 0.6699 0.9241  4 Ni 2.49-2.70
Rb 0.7500 0.9395 0.2447  3 Se 3.41-3.48, 3 Te 3.60-3.67, 1 Ni 3.82
Te 0.7500 0.3301 0.0759  4 Ni 2.49-2.70
Rb 0.2500 0.0605 0.7553  3 Se 3.41-3.48, 3 Te 3.60-3.67, 1 Ni 3.82
Ni 0.7500 0.4924 0.8275  1 Se 2.32, 3 Te 2.49-2.59
Ni 0.2500 0.4793 0.6034  3 Se 2.38-2.42
Ni 0.2500 0.5076 0.1725  1 Se 2.32, 3 Te 2.49-2.59

Entry 8:
A plane-wave DFT calculation with GGA-PBE was carried out for a relaxed BaCa3Be crystal.

- Mass density: 2.2 g/cm³
- Excess energy over the best structure of this formula in the dataset: 0.000 kcal/mol of atoms
- Calculated formation energy: 214 meV per atom

Unit cell a=5.8300 b=5.8300 c=5.8300 alpha=90.00 beta=90.00 gamma=90.00
Last column: nearest neighbours and their distance in Å.
Positions (direct):
Ba 0.5000 0.5000 0.5000  12 Ca 4.12
Ca 0.0000 0.5000 0.0000  2 Be 2.91
Ca 0.5000 0.0000 0.0000  2 Be 2.91
Ca 0.0000 0.0000 0.5000  2 Be 2.91
Be 0.0000 0.0000 0.0000  6 Ca 2.91

Entry 9:
A plane-wave DFT calculation with GGA-PBE was carried out for a relaxed Pa2Be4GeIr3 crystal.

- Mass density: 12.7 g/cm³
- Calculated formation energy: -533 meV per atom

Unit cell a=3.8490 b=3.8490 c=10.1419 alpha=90.00 beta=90.00 gamma=90.00
Last column: nearest neighbours and their distance in Å.
Positions (direct):
Ir 0.0000 0.0000 0.5000  4 Be 2.35
Be 0.0000 0.0000 0.0000  4 Ir 2.37
Pa 0.5000 0.0000 0.2446  6 Ir 2.94-3.23, 8 Be 2.99-3.14, 2 Ge 3.23
Be 0.5000 0.5000 0.0000  4 Ir 2.37
Pa 0.0000 0.5000 0.7554  6 Ir 2.94-3.23, 8 Be 2.99-3.14, 2 Ge 3.23
Ir 0.0000 0.5000 0.1362  5 Be 2.34-2.37
Be 0.0000 0.5000 0.3671  3 Ir 2.34-2.35, 2 Ge 2.35
Ir 0.5000 0.0000 0.8638  5 Be 2.34-2.37
Ge 0.5000 0.5000 0.5000  4 Be 2.35
Be 0.5000 0.0000 0.6329  3 Ir 2.34-2.35, 2 Ge 2.35

Entry 10:
A plane-wave DFT calculation with GGA-PBE was carried out for a relaxed Na7Tl4In crystal.

- Mass density: 4.9 g/cm³
- Excess energy over the best structure of this formula in the dataset: 1.418 kcal/mol of atoms
- Calculated formation energy: -29 meV per atom

Unit cell a=5.8462 b=9.4333 c=8.1707 alpha=63.02 beta=69.04 gamma=71.95
Last column: nearest neighbours and their distance in Å.
Positions (direct):
Na 0.2293 0.7491 0.7922  4 Tl 3.14-3.35, 1 In 3.21, 2 Na 3.30-3.36
Na 0.8187 0.8591 0.5035  5 Na 3.36-3.65, 3 Tl 3.46-3.67, 1 In 3.55
In 0.0000 0.0000 0.0000  4 Na 2.92-3.21
Tl 0.4473 0.6967 0.4086  6 Na 3.14-3.46, 2 Tl 3.23-3.26
Na 0.9198 0.4216 0.7388  4 Na 3.30-3.65, 5 Tl 3.37-3.44, 1 In 3.53
Na 0.0802 0.5784 0.2612  4 Na 3.30-3.65, 5 Tl 3.37-3.44, 1 In 3.53
Na 0.7707 0.2509 0.2078  4 Tl 3.14-3.35, 1 In 3.21, 2 Na 3.30-3.36
Na 0.5000 0.0000 0.0000  2 In 2.92, 4 Tl 3.23-3.25
Na 0.1813 0.1409 0.4965  5 Na 3.36-3.65, 3 Tl 3.46-3.67, 1 In 3.55
Tl 0.6732 0.6338 0.0198  7 Na 3.17-3.39, 1 Tl 3.23
Tl 0.5527 0.3033 0.5914  6 Na 3.14-3.46, 2 Tl 3.23-3.26
Tl 0.3268 0.3662 0.9802  7 Na 3.17-3.39, 1 Tl 3.23

Entry 11:
A plane-wave DFT calculation with GGA-PBE was carried out for a relaxed LaEuTl2 crystal.

- Mass density: 9.2 g/cm³
- Excess energy over the best structure of this formula in the dataset: 0.000 kcal/mol of atoms
- Calculated formation energy: -426 meV per atom

Unit cell a=3.9694 b=3.9694 c=8.0267 alpha=90.00 beta=90.00 gamma=90.00
Last column: nearest neighbours and their distance in Å.
Positions (direct):
Eu 0.5000 0.5000 0.0000  8 Tl 3.45
Tl 0.0000 0.0000 0.7507  4 Eu 3.45, 4 La 3.45
La 0.5000 0.5000 0.5000  8 Tl 3.45
Tl 0.0000 0.0000 0.2493  4 Eu 3.45, 4 La 3.45

Entry 12:
A plane-wave DFT calculation with GGA-PBE was carried out for a relaxed YAu3 crystal.

- Mass density: 12.7 g/cm³
- Calculated formation energy: -503 meV per atom

Unit cell a=3.9487 b=3.9488 c=5.6918 alpha=90.00 beta=90.00 gamma=90.00
Last column: nearest neighbours and their distance in Å.
Positions (direct):
Au 0.0000 0.0000 0.9111  6 Au 2.79-2.94, 2 Y 3.04
Y 0.0000 0.5000 0.3168  8 Au 3.04
Au 0.5000 0.5000 0.9111  6 Au 2.79-2.94, 2 Y 3.04
Au 0.5000 0.0000 0.5277  4 Au 2.94, 4 Y 3.04

> mass density of number 12 (YAu3)?

12.7 g/cm³

> mass density of number 4 (Tb4BeCl5)?

5.1 g/cm³

> Which value of mass density does entry 1 give?

7.7 g/cm³

> mass density of number 8 (BaCa3Be)?

2.2 g/cm³